Computed, not measured: AcNd5Sm3 after structural relaxation at the GGA-PBE level of DFT.

Cell: 16.536 7.015 11.915 Å, 90.00 108.48 90.00°
Space group C2/c (No. 15)
One atom of each set of equivalent atoms:
Ac  0.000  0.237  0.250 x4
Nd  0.000  0.304  0.750 x4
Nd  0.108  0.498  0.548 x8
Nd  0.177  0.106  0.862 x8
Sm  0.000  0.000  0.000 x4
Sm  0.244  0.392  0.369 x8

Properties
- calculated density (g/cm3) = 7.09
- uncorrected energy (eV/atom) = -4.507
- M_tot (μB per formula unit) = 0.00
- ΔH_f (0 K) (meV/atom) = 171.4



Computed, not measured: Nb2Pt8Rh after structural relaxation at the GGA-PBE level of DFT.

Cell: 3.935 7.998 11.588 Å, 90.00 90.00 90.00°
Space group Immm (No. 71)
One atom of each set of equivalent atoms:
Nb  0.000  0.000  0.161 x4
Pt  0.000  0.244  0.000 x4
Pt  0.000  0.256  0.340 x8
Pt  0.000  0.500  0.176 x4
Rh  0.000  0.000  0.500 x2

Properties
- calculated density (g/cm3) = 16.84
- uncorrected energy (eV/atom) = -7.319
- M_tot (μB per formula unit) = 0.00
- ΔH_f (0 K) (meV/atom) = -426.9



Computed, not measured: K2WSCl after structural relaxation at the GGA-PBE level of DFT.

Cell: 6.584 6.584 4.460 Å, 90.00 90.00 90.00°
Space group P4/mmm (No. 123)
One atom of each set of equivalent atoms:
K  0.000  0.500  0.000 x2
W  0.000  0.000  0.000 x1
S  0.500  0.500  0.500 x1
Cl  0.000  0.000  0.500 x1

Properties
- calculated density (g/cm3) = 2.83
- uncorrected energy (eV/atom) = -3.573
- M_tot (μB per formula unit) = 3.10
- formation energy without anion corrections (meV/atom) = 651



Computed, not measured: Zr2TcRh after structural relaxation at the GGA-PBE level of DFT.

Cell: 3.1945 3.1945 25.0930 Å, 90.00 90.00 120.00°
Space group R-3m (No. 166, hexagonal axes)
One atom of each set of equivalent atoms:
Zr  0.0000  0.0000  0.2491 x6
Tc  0.0000  0.0000  0.5000 x3
Rh  0.0000  0.0000  0.0000 x3

Properties
- calculated density (g/cm3) = 8.61
- uncorrected energy (eV/atom) = -8.953
- M_tot (μB per formula unit) = 0.00
- ΔH_f (0 K) (meV/atom) = -250.0



Computed, not measured: Mg8Zn2Pt after structural relaxation at the GGA-PBE level of DFT.

Cell: 15.549 4.611 6.593 Å, 90.00 112.74 90.00°
Space group C2/m (No. 12)
One atom of each set of equivalent atoms:
Mg  0.020  0.000  0.284 x4
Mg  0.102  0.500  0.934 x4
Mg  0.161  0.500  0.432 x4
Mg  0.188  0.000  0.761 x4
Zn  0.180  0.000  0.179 x4
Pt  0.000  0.500  0.500 x2

Properties
- calculated density (g/cm3) = 3.96
- uncorrected energy (eV/atom) = -2.175
- M_tot (μB per formula unit) = 0.00
- ΔH_f (0 K) (meV/atom) = -234.4



Computed, not measured: Sr2CoAu after structural relaxation at the GGA-PBE level of DFT.

Cell: 8.113 8.113 6.959 Å, 90.00 90.00 90.00°
Space group I-42d (No. 122)
One atom of each set of equivalent atoms:
Sr  0.232  0.750  0.125 x8
Co  0.000  0.000  0.000 x4
Au  0.000  0.000  0.500 x4

Properties
- calculated density (g/cm3) = 6.25
- uncorrected energy (eV/atom) = -3.177
- M_tot (μB per formula unit) = 0.62
- ΔH_f (0 K) (meV/atom) = 259.3



Computed, not measured: CoRe2Pb after structural relaxation at the GGA-PBE level of DFT.

Cell: 2.8863 2.8863 27.3549 Å, 90.00 90.00 120.00°
Space group R-3m (No. 166, hexagonal axes)
One atom of each set of equivalent atoms:
Co  0.0000  0.0000  0.0000 x3
Re  0.0000  0.0000  0.2627 x6
Pb  0.0000  0.0000  0.5000 x3

Properties
- calculated density (g/cm3) = 16.12
- uncorrected energy (eV/atom) = -8.064
- M_tot (μB per formula unit) = 0.41
- ΔH_f (0 K) (meV/atom) = 863.9



Computed, not measured: KTcAs2 after structural relaxation at the GGA-PBE level of DFT.

Cell: 3.176 3.371 8.213 Å, 90.00 90.00 90.00°
Space group Pmm2 (No. 25)
One atom of each set of equivalent atoms:
K  0.000  0.000  0.000 x1
Tc  0.000  0.500  0.516 x1
As  0.500  0.000  0.656 x1
As  0.500  0.500  0.285 x1

Properties
- calculated density (g/cm3) = 5.42
- uncorrected energy (eV/atom) = -5.315
- M_tot (μB per formula unit) = 0.00
- ΔH_f (0 K) (meV/atom) = -124.7



Computed, not measured: BeTlBr2 after structural relaxation at the GGA-PBE level of DFT.

Cell: 3.293 7.114 11.157 Å, 90.00 90.00 90.00°
Space group Cmmm (No. 65)
One atom of each set of equivalent atoms:
Be  0.000  0.000  0.000 x2
Tl  0.000  0.000  0.500 x2
Br  0.000  0.500  0.142 x4

Properties
- calculated density (g/cm3) = 4.74
- uncorrected energy (eV/atom) = -2.717
- M_tot (μB per formula unit) = 0.00
- formation energy without anion corrections (meV/atom) = -357



Computed, not measured: TbDyNi after structural relaxation at the GGA-PBE level of DFT.

Cell: 3.409 3.409 12.457 Å, 90.00 90.00 90.00°
Space group I4mm (No. 107)
One atom of each set of equivalent atoms:
Tb  0.000  0.000  0.000 x2
Dy  0.000  0.000  0.738 x2
Ni  0.000  0.000  0.368 x2

Properties
- calculated density (g/cm3) = 8.72
- uncorrected energy (eV/atom) = -5.240
- M_tot (μB per formula unit) = 0.00
- ΔH_f (0 K) (meV/atom) = -235.9



Computed, not measured: Th4MgIn15 after structural relaxation at the GGA-PBE level of DFT.

Cell: 4.711 4.711 23.689 Å, 90.00 90.00 90.00°
Space group P4/mmm (No. 123)
One atom of each set of equivalent atoms:
Th  0.000  0.000  0.101 x2
Th  0.000  0.000  0.301 x2
Mg  0.000  0.000  0.500 x1
In  0.000  0.500  0.000 x2
In  0.000  0.500  0.202 x4
In  0.000  0.500  0.405 x4
In  0.500  0.500  0.101 x2
In  0.500  0.500  0.302 x2
In  0.500  0.500  0.500 x1

Properties
- calculated density (g/cm3) = 8.45
- uncorrected energy (eV/atom) = -3.891
- M_tot (μB per formula unit) = 0.00
- ΔH_f (0 K) (meV/atom) = -273.0



Computed, not measured: Nb2CuReH after structural relaxation at the GGA-PBE level of DFT.

Cell: 4.321 4.321 3.523 Å, 90.00 90.00 90.00°
Space group P4/mmm (No. 123)
One atom of each set of equivalent atoms:
Nb  0.000  0.500  0.000 x2
Cu  0.000  0.000  0.500 x1
Re  0.500  0.500  0.500 x1
H  0.000  0.000  0.000 x1

Properties
- calculated density (g/cm3) = 11.02
- uncorrected energy (eV/atom) = -8.019
- M_tot (μB per formula unit) = 0.00